No. 1
Compound: Li8Cd2Ga
Source: the Alexandria database
Functional: GGA-PBE
Structure: relaxed

CIF file:
```
data_Li8Cd2Ga
_cell_length_a 15.2349
_cell_length_b 4.6432
_cell_length_c 5.4981
_cell_angle_alpha 90.00
_cell_angle_beta 91.59
_cell_angle_gamma 90.00
_symmetry_space_group_name_H-M 'C 1 2/m 1'
_symmetry_Int_Tables_number 12
loop_
_symmetry_equiv_pos_as_xyz
'x,y,z'
'-x,-y,-z'
'-x,y,-z'
'x,-y,z'
'x+1/2,y+1/2,z'
'-x+1/2,-y+1/2,-z'
'-x+1/2,y+1/2,-z'
'x+1/2,-y+1/2,z'
loop_
_atom_site_label
_atom_site_fract_x
_atom_site_fract_y
_atom_site_fract_z
Li1 0.0400 0.0000 0.2508
Li2 0.0894 0.5000 0.9498
Li3 0.1426 0.0000 0.6714
Li4 0.1738 0.5000 0.4042
Cd1 0.2233 0.0000 0.1510
Ga1 0.0000 0.5000 0.5000
```

Values from the calculation:
**Magnetization**: 0.00 Bohr magnetons per cell
**Formation energy from the elements**: -187.1 meV/atom
**Calculated volume**: 17.67 Å³ per atom
**Calculated total energy**: -22.23 eV/f.u.

***

No. 2
Compound: TiNbCSe2
Source: the Alexandria database
Functional: GGA-PBE
Structure: relaxed

CIF file:
```
data_TiNbCSe2
_cell_length_a 4.5286
_cell_length_b 4.5286
_cell_length_c 4.0871
_cell_angle_alpha 90.00
_cell_angle_beta 90.00
_cell_angle_gamma 90.00
_symmetry_space_group_name_H-M 'P 4/m m m'
_symmetry_Int_Tables_number 123
_symmetry_space_group_name_Hall '-P 4 2'
loop_
_atom_site_label
_atom_site_fract_x
_atom_site_fract_y
_atom_site_fract_z
Ti1 0.0000 0.0000 0.0000
Nb1 0.5000 0.5000 0.0000
C1 0.5000 0.5000 0.5000
Se1 0.0000 0.5000 0.5000
```

Values from the calculation:
**Magnetization**: 0.00 Bohr magnetons per cell
**Calculated volume**: 16.76 Å³ per atom
**Calculated total energy**: -31.14 eV/f.u.

***

No. 3
Compound: Er7Sn2Ir2
Source: the Alexandria database
Functional: GGA-PBE
Structure: relaxed

CIF file:
```
data_Er7Sn2Ir2
_cell_length_a 8.2428
_cell_length_b 10.7064
_cell_length_c 7.0535
_cell_angle_alpha 90.00
_cell_angle_beta 90.00
_cell_angle_gamma 90.00
_symmetry_space_group_name_H-M 'C m m m'
_symmetry_Int_Tables_number 65
_symmetry_space_group_name_Hall '-C 2 2'
loop_
_atom_site_label
_atom_site_fract_x
_atom_site_fract_y
_atom_site_fract_z
Er1 0.0000 0.0000 0.0000
Er2 0.0000 0.5000 0.2353
Er3 0.2500 0.2500 0.2461
Sn1 0.1832 0.0000 0.5000
Ir1 0.0000 0.2840 0.0000
```

Values from the calculation:
**Magnetization**: 0.00 Bohr magnetons per cell
**Formation energy from the elements**: -567.5 meV/atom
**Calculated volume**: 28.29 Å³ per atom
**Calculated total energy**: -63.91 eV/f.u.

***

No. 4
Compound: Ta3Au
Source: the Alexandria database
Functional: GGA-PBE
Structure: relaxed

CIF file:
```
data_Ta3Au
_cell_length_a 6.2211
_cell_length_b 9.6648
_cell_length_c 4.7833
_cell_angle_alpha 90.00
_cell_angle_beta 90.00
_cell_angle_gamma 90.00
_symmetry_space_group_name_H-M 'C m c m'
_symmetry_Int_Tables_number 63
_symmetry_space_group_name_Hall '-C 2c 2'
loop_
_atom_site_label
_atom_site_fract_x
_atom_site_fract_y
_atom_site_fract_z
Ta1 0.0000 0.1298 0.2500
Ta2 0.2444 0.3941 0.2500
Au1 0.0000 0.3457 0.7500
```

Values from the calculation:
**Magnetization**: 0.00 Bohr magnetons per cell
**Formation energy from the elements**: 3.9 meV/atom
**Calculated volume**: 17.98 Å³ per atom
**Calculated total energy**: -38.82 eV/f.u.

***

No. 5
Compound: NaNi2C
Source: the Alexandria database
Functional: GGA-PBE
Structure: relaxed

CIF file:
```
data_NaNi2C
_cell_length_a 4.9464
_cell_length_b 4.9464
_cell_length_c 10.5502
_cell_angle_alpha 90.00
_cell_angle_beta 90.00
_cell_angle_gamma 90.00
_symmetry_space_group_name_H-M 'I 41/a m d'
_symmetry_Int_Tables_number 141
loop_
_symmetry_equiv_pos_as_xyz
'x,y,z'
'-x,-y,-z'
'-y+1/4,x+3/4,z+1/4'
'y+1/4,-x+3/4,-z+1/4'
'-x+1/2,-y,z+1/2'
'x+1/2,y,-z+1/2'
'y+1/4,-x+1/4,z+3/4'
'-y+1/4,x+1/4,-z+3/4'
'x,-y,-z'
'-x,y,z'
'-y+1/4,-x+1/4,-z+3/4'
'y+1/4,x+1/4,z+3/4'
'-x+1/2,y,-z+1/2'
'x+1/2,-y,z+1/2'
'y+1/4,x+3/4,-z+1/4'
'-y+1/4,-x+3/4,z+1/4'
'x+1/2,y+1/2,z+1/2'
'-x+1/2,-y+1/2,-z+1/2'
'-y+3/4,x+1/4,z+3/4'
'y+3/4,-x+1/4,-z+3/4'
'-x,-y+1/2,z'
'x,y+1/2,-z'
'y+3/4,-x+3/4,z+1/4'
'-y+3/4,x+3/4,-z+1/4'
'x+1/2,-y+1/2,-z+1/2'
'-x+1/2,y+1/2,z+1/2'
'-y+3/4,-x+3/4,-z+1/4'
'y+3/4,x+3/4,z+1/4'
'-x,y+1/2,-z'
'x,-y+1/2,z'
'y+3/4,x+1/4,-z+3/4'
'-y+3/4,-x+1/4,z+3/4'
loop_
_atom_site_label
_atom_site_fract_x
_atom_site_fract_y
_atom_site_fract_z
Na1 0.0000 0.2500 0.3750
Ni1 0.0000 0.0000 0.0000
C1 0.0000 0.2500 0.8750
```

Values from the calculation:
**Magnetization**: 0.00 Bohr magnetons per cell
**Formation energy from the elements**: 401.5 meV/atom
**Calculated volume**: 16.13 Å³ per atom
**Calculated total energy**: -20.50 eV/f.u.